1.
## LiBeC2I (meta-GGA SCAN)

Data for a PBEsol-optimized structure of LiBeC2I.

Formation energy from raw total energies = 1.42 eV per atom

abc: 3.541 3.541 6.685
angles: 90.00 90.00 90.00
Element x y z (fractional)
Li 0.000 0.000 0.000
Be 0.000 0.000 0.500
C 0.000 0.500 0.500
C 0.500 0.000 0.500
I 0.500 0.500 0.000

***

2.
## BeSb2CI (meta-GGA SCAN)

Data for a PBEsol-optimized structure of BeSb2CI.

Formation energy from raw total energies = 1.77 eV per atom

abc: 4.827 4.827 4.955
angles: 90.00 90.00 90.00
Element x y z (fractional)
Be 0.000 0.000 0.000
Sb 0.000 0.500 0.000
Sb 0.500 0.000 0.000
C 0.500 0.500 0.500
I 0.000 0.000 0.500

***

3.
## Be2InSbC (meta-GGA SCAN)

Data for a PBEsol-optimized structure of Be2InSbC.

Formation energy from raw total energies = 2.08 eV per atom

abc: 4.330 4.330 5.854
angles: 90.00 90.00 90.00
Element x y z (fractional)
Be 0.000 0.500 0.000
Be 0.500 0.000 0.000
In 0.000 0.000 0.000
Sb 0.000 0.000 0.500
C 0.500 0.500 0.500

***

4.
## BeNb2IrC (meta-GGA SCAN)

Data for a PBEsol-optimized structure of BeNb2IrC.

ΔH_f (0 K) = 8.47 eV/f.u.

abc: 4.799 4.799 3.979
angles: 90.00 90.00 90.00
Element x y z (fractional)
Be 0.000 0.000 0.000
Nb 0.000 0.500 0.500
Nb 0.500 0.000 0.500
Ir 0.000 0.000 0.500
C 0.500 0.500 0.000

***

5.
## KBeC3 (meta-GGA SCAN)

Data for a PBEsol-optimized structure of KBeC3.

ΔH_f (0 K) = 23.99 eV/f.u.

abc: 4.206 4.206 4.206
angles: 90.00 90.00 90.00
Element x y z (fractional)
K 0.000 0.000 0.000
Be 0.500 0.500 0.500
C 0.000 0.000 0.500
C 0.000 0.500 0.000
C 0.500 0.000 0.000

***

6.
## K2BeC4O8 (meta-GGA SCAN)

Data for a PBEsol-optimized structure of K2BeC4O8.

Formation energy from raw total energies = -1.71 eV per atom

abc: 13.368 8.885 6.641
angles: 90.00 90.00 90.00
Element x y z (fractional)
K 0.105 0.002 0.189
K 0.105 0.498 0.189
K 0.395 0.502 0.689
K 0.395 0.998 0.689
K 0.605 0.002 0.311
K 0.605 0.498 0.311
K 0.895 0.502 0.811
K 0.895 0.998 0.811
Be 0.246 0.250 0.924
Be 0.254 0.750 0.424
Be 0.746 0.250 0.576
Be 0.754 0.750 0.076
C 0.092 0.250 0.740
C 0.142 0.663 0.679
C 0.142 0.837 0.679
C 0.180 0.250 0.589
C 0.320 0.750 0.089
C 0.358 0.163 0.179
C 0.358 0.337 0.179
C 0.408 0.750 0.240
C 0.592 0.250 0.760
C 0.642 0.663 0.821
C 0.642 0.837 0.821
C 0.680 0.250 0.911
C 0.820 0.750 0.411
C 0.858 0.163 0.321
C 0.858 0.337 0.321
C 0.908 0.750 0.260
O 0.003 0.250 0.685
O 0.090 0.587 0.794
O 0.090 0.913 0.794
O 0.124 0.250 0.925
O 0.168 0.250 0.405
O 0.202 0.610 0.542
O 0.202 0.890 0.542
O 0.234 0.750 0.182
O 0.266 0.250 0.682
O 0.298 0.110 0.042
O 0.298 0.390 0.042
O 0.332 0.750 0.905
O 0.376 0.750 0.425
O 0.410 0.087 0.294
O 0.410 0.413 0.294
O 0.497 0.750 0.185
O 0.503 0.250 0.815
O 0.590 0.587 0.706
O 0.590 0.913 0.706
O 0.624 0.250 0.575
O 0.668 0.250 0.095
O 0.702 0.610 0.958
O 0.702 0.890 0.958
O 0.734 0.750 0.318
O 0.766 0.250 0.818
O 0.798 0.110 0.458
O 0.798 0.390 0.458
O 0.832 0.750 0.595
O 0.876 0.750 0.075
O 0.910 0.087 0.206
O 0.910 0.413 0.206
O 0.997 0.750 0.315

***

7.
## K3BePCO7 (meta-GGA SCAN)

Data for a PBEsol-optimized structure of K3BePCO7.

Formation energy from raw total energies = -2.29 eV per atom

abc: 4.940 8.814 9.848
angles: 90.00 90.04 90.00
Element x y z (fractional)
K 0.209 0.250 0.075
K 0.284 0.026 0.695
K 0.284 0.474 0.695
K 0.716 0.526 0.305
K 0.716 0.974 0.305
K 0.791 0.750 0.925
Be 0.232 0.750 0.429
Be 0.768 0.250 0.571
P 0.254 0.250 0.402
P 0.746 0.750 0.598
C 0.202 0.750 0.164
C 0.798 0.250 0.836
O 0.056 0.250 0.829
O 0.070 0.250 0.532
O 0.212 0.105 0.320
O 0.212 0.395 0.320
O 0.333 0.750 0.053
O 0.342 0.750 0.282
O 0.445 0.750 0.543
O 0.555 0.250 0.457
O 0.658 0.250 0.718
O 0.667 0.250 0.947
O 0.788 0.605 0.680
O 0.788 0.895 0.680
O 0.930 0.750 0.468
O 0.944 0.750 0.171

***

8.
## KBeSbC2 (meta-GGA SCAN)

Data for a PBEsol-optimized structure of KBeSbC2.

Formation energy from raw total energies = 1.98 eV per atom

abc: 4.106 4.106 4.664
angles: 90.00 90.00 90.00
Element x y z (fractional)
K 0.000 0.000 0.000
Be 0.500 0.500 0.500
Sb 0.500 0.500 0.000
C 0.000 0.500 0.500
C 0.500 0.000 0.500

***

9.
## LiTa2BeC (meta-GGA SCAN)

Data for a PBEsol-optimized structure of LiTa2BeC.

ΔH_f (0 K) = 7.66 eV/f.u.

abc: 4.354 4.354 3.210
angles: 90.00 90.00 90.00
Element x y z (fractional)
Li 0.000 0.000 0.000
Ta 0.000 0.500 0.000
Ta 0.500 0.000 0.000
Be 0.500 0.500 0.500
C 0.000 0.000 0.500

***

10.
## MnBePb2C (meta-GGA SCAN)

Data for a PBEsol-optimized structure of MnBePb2C.

ΔH_f (0 K) = 5.18 eV/f.u.

abc: 5.105 5.105 3.627
angles: 90.00 90.00 90.00
Element x y z (fractional)
Mn 0.000 0.000 0.000
Be 0.500 0.500 0.500
Pb 0.000 0.500 0.000
Pb 0.500 0.000 0.000
C 0.000 0.000 0.500

***

11.
## MnBe2SbC (meta-GGA SCAN)

Data for a PBEsol-optimized structure of MnBe2SbC.

Formation energy from raw total energies = 0.40 eV per atom

abc: 3.766 3.766 3.877
angles: 90.00 90.00 90.00
Element x y z (fractional)
Mn 0.000 0.000 0.000
Be 0.000 0.500 0.500
Be 0.500 0.000 0.500
Sb 0.500 0.500 0.000
C 0.000 0.000 0.500

***

12.
## BeMoC3 (meta-GGA SCAN)

Data for a PBEsol-optimized structure of BeMoC3.

ΔH_f (0 K) = 11.69 eV/f.u.

abc: 4.013 4.013 4.013
angles: 90.00 90.00 90.00
Element x y z (fractional)
Be 0.000 0.000 0.000
Mo 0.500 0.500 0.500
C 0.000 0.500 0.500
C 0.500 0.000 0.500
C 0.500 0.500 0.000